# 1
! Hg2AuSe (GGA-PBE, relaxed); values from VASP
! Uncorrected formation energy, eV/atom: 0.116
&SYSTEM
  ibrav = 0, nat = 4, ntyp = 3
/
ATOMIC_SPECIES
Au 196.97 Au.upf
Hg 200.59 Hg.upf
Se 78.96 Se.upf
ATOMIC_POSITIONS angstrom
Au 4.0444 0.8469 1.0916
Hg 14.3918 3.0138 -0.0749
Hg 9.0246 1.8899 2.0165
Se 12.1332 2.5408 3.2748
CELL_PARAMETERS angstrom
7.9634 0.1742 -0.1208
7.3642 3.0355 -0.1208
0.8500 0.1780 4.6079


# 2
! Hg2AuSe (GGA-PBE, relaxed); values from VASP
! Uncorrected formation energy, eV/atom: 0.151
&SYSTEM
  ibrav = 0, nat = 4, ntyp = 3
/
ATOMIC_SPECIES
Au 196.97 Au.upf
Hg 200.59 Hg.upf
Se 78.96 Se.upf
ATOMIC_POSITIONS angstrom
Au 3.1573 3.3785 4.6033
Hg 0.0000 2.4682 5.8232
Hg 0.0000 1.4901 2.9622
Se 3.1573 1.1262 1.5344
CELL_PARAMETERS angstrom
6.3147 0.0000 0.0000
0.0000 2.7988 0.4212
0.0000 1.7059 5.7166


# 3
! HgAu2Se (GGA-PBE, relaxed); values from VASP
! Uncorrected formation energy, eV/atom: 0.093
&SYSTEM
  ibrav = 0, nat = 4, ntyp = 3
/
ATOMIC_SPECIES
Au 196.97 Au.upf
Hg 200.59 Hg.upf
Se 78.96 Se.upf
ATOMIC_POSITIONS angstrom
Au 4.8827 1.0498 2.4212
Au 0.1619 1.8513 2.8154
Hg 2.2045 0.2993 1.1307
Se 3.6176 1.5502 4.7534
CELL_PARAMETERS angstrom
-2.5288 1.0030 4.6649
1.5540 -2.1027 1.2945
3.8043 3.6018 1.2878


# 4
! Hg2AuSe (GGA-PBE, relaxed); values from VASP
! Uncorrected formation energy, eV/atom: 0.217
&SYSTEM
  ibrav = 0, nat = 4, ntyp = 3
/
ATOMIC_SPECIES
Au 196.97 Au.upf
Hg 200.59 Hg.upf
Se 78.96 Se.upf
ATOMIC_POSITIONS angstrom
Au 1.4608 1.4608 8.2704
Hg 0.0000 0.0000 10.7666
Hg 1.4608 1.4608 2.7642
Se 0.0000 0.0000 6.0017
CELL_PARAMETERS angstrom
2.9217 0.0000 0.0000
0.0000 2.9217 0.0000
0.0000 0.0000 11.1211


# 5
! Hg2AuSe (GGA-PBE, relaxed); values from VASP
! Uncorrected formation energy, eV/atom: 0.067
&SYSTEM
  ibrav = 0, nat = 4, ntyp = 3
/
ATOMIC_SPECIES
Au 196.97 Au.upf
Hg 200.59 Hg.upf
Se 78.96 Se.upf
ATOMIC_POSITIONS angstrom
Au 1.9011 1.9011 4.4681
Hg 0.0000 0.0000 0.2066
Hg 1.9011 1.9011 1.5969
Se 0.0000 0.0000 4.5956
CELL_PARAMETERS angstrom
3.8023 0.0000 0.0000
0.0000 3.8023 0.0000
0.0000 0.0000 7.2448


# 6
! Hg3AuSe (GGA-PBE, relaxed); values from VASP
! Uncorrected formation energy, eV/atom: -0.019
&SYSTEM
  ibrav = 0, nat = 10, ntyp = 3
/
ATOMIC_SPECIES
Hg 200.59 Hg.upf
Au 196.97 Au.upf
Se 78.96 Se.upf
ATOMIC_POSITIONS angstrom
Hg 4.2984 1.4734 6.4465
Hg 1.7209 3.9701 4.7171
Hg 1.3254 2.0494 1.2143
Hg 3.9030 -0.4474 2.9439
Hg -0.0315 6.4443 2.0318
Hg 5.6552 -2.9212 5.6294
Au 4.4171 7.8250 0.6508
Au 2.6953 -0.3934 0.3369
Se 2.4347 4.1183 2.2663
Se 3.1893 -0.5957 5.3948
CELL_PARAMETERS angstrom
5.3907 -0.7870 0.6736
-0.9733 8.6121 -0.0228
1.2064 -4.3022 7.0102


# 7
! SnHg2AuSe4 (GGA-PBE, relaxed); values from VASP
! Uncorrected formation energy, eV/atom: -0.165
&SYSTEM
  ibrav = 0, nat = 8, ntyp = 4
/
ATOMIC_SPECIES
Sn 118.71 Sn.upf
Hg 200.59 Hg.upf
Au 196.97 Au.upf
Se 78.96 Se.upf
ATOMIC_POSITIONS angstrom
Sn 2.9921 3.2504 0.0012
Hg 3.1238 0.1280 3.1310
Hg -0.1318 3.1228 3.1310
Au 0.0001 0.0000 0.0044
Se 1.5405 1.6738 4.7366
Se 1.3164 4.7922 1.5173
Se 4.6679 1.7090 1.5169
Se -1.5405 -1.6733 4.7362
CELL_PARAMETERS angstrom
6.2477 0.2556 0.0000
-0.2634 6.2452 0.0004
-2.9922 -3.2500 6.2565


# 8
! Tb4HgAuSe2 (GGA-PBE, relaxed); values from VASP
! Uncorrected formation energy, eV/atom: -1.181
&SYSTEM
  ibrav = 0, nat = 8, ntyp = 4
/
ATOMIC_SPECIES
Tb 158.93 Tb.upf
Hg 200.59 Hg.upf
Au 196.97 Au.upf
Se 78.96 Se.upf
ATOMIC_POSITIONS angstrom
Tb 1.7773 -3.6631 8.0145
Tb -2.9747 0.1207 3.9735
Tb -1.5037 -3.8555 5.5987
Tb 0.3063 0.3131 6.3893
Hg 1.1809 -2.4133 5.3058
Au 0.8588 -1.0143 9.0569
Se 2.9150 1.5139 6.1259
Se -0.3221 1.3991 3.7511
CELL_PARAMETERS angstrom
-3.5591 1.2842 1.3763
-0.5533 -6.3405 4.4858
2.9150 1.5139 6.1259


# 9
! HgTeAuSe (GGA-PBE, relaxed); values from VASP
! Uncorrected formation energy, eV/atom: -0.085
&SYSTEM
  ibrav = 0, nat = 4, ntyp = 4
/
ATOMIC_SPECIES
Hg 200.59 Hg.upf
Te 127.60 Te.upf
Au 196.97 Au.upf
Se 78.96 Se.upf
ATOMIC_POSITIONS angstrom
Hg -3.1673 1.5727 -6.7683
Te -4.6440 -2.7430 -1.7388
Au -4.8744 -1.4672 -4.1139
Se -2.9639 0.2723 -4.3893
CELL_PARAMETERS angstrom
-2.6383 2.5067 -2.4679
-0.1185 -0.5602 -4.3597
-6.3433 -4.2903 -1.4938


# 10
! TiHg2AuSe (GGA-PBE, relaxed); values from VASP
! Uncorrected formation energy, eV/atom: 0.930
&SYSTEM
  ibrav = 0, nat = 5, ntyp = 4
/
ATOMIC_SPECIES
Au 196.97 Au.upf
Hg 200.59 Hg.upf
Se 78.96 Se.upf
Ti 47.87 Ti.upf
ATOMIC_POSITIONS angstrom
Au 0.0000 2.5332 0.0000
Hg 0.0000 0.0000 2.6285
Hg 2.6285 0.0000 0.0000
Se 0.0000 0.0000 0.0000
Ti 2.6285 2.5332 2.6285
CELL_PARAMETERS angstrom
5.2570 0.0000 0.0000
0.0000 5.0663 0.0000
0.0000 0.0000 5.2570


# 11
! TlHg2AuSe4 (GGA-PBE, relaxed); values from VASP
! Uncorrected formation energy, eV/atom: -0.159
&SYSTEM
  ibrav = 0, nat = 8, ntyp = 4
/
ATOMIC_SPECIES
Tl 204.38 Tl.upf
Hg 200.59 Hg.upf
Au 196.97 Au.upf
Se 78.96 Se.upf
ATOMIC_POSITIONS angstrom
Tl -2.5699 0.5323 3.5390
Hg -1.5881 3.9998 0.9898
Hg 1.5250 2.1808 3.5240
Au -0.0640 6.1786 4.5134
Se 0.5612 4.5412 2.5701
Se -0.3427 0.9701 5.0915
Se -3.5712 2.8566 2.4633
Se 3.2258 3.9915 -1.0977
CELL_PARAMETERS angstrom
-5.6839 2.3493 1.0045
0.5424 -1.2887 6.0729
5.0779 5.1188 -2.5639


# 12
! Tl4Hg2AuSe (GGA-PBE, relaxed); values from VASP
! Uncorrected formation energy, eV/atom: -0.126
&SYSTEM
  ibrav = 0, nat = 8, ntyp = 4
/
ATOMIC_SPECIES
Tl 204.38 Tl.upf
Hg 200.59 Hg.upf
Au 196.97 Au.upf
Se 78.96 Se.upf
ATOMIC_POSITIONS angstrom
Tl 1.5700 -1.1911 2.2959
Tl 5.6122 0.4130 5.5624
Tl 2.1101 3.0573 5.0706
Tl 5.5392 -0.4074 0.5264
Hg -0.1463 0.5260 4.5443
Hg 3.8246 1.3249 2.7985
Au 0.0000 0.0000 0.0000
Se 3.5039 -2.6290 0.5154
CELL_PARAMETERS angstrom
-0.4670 -3.4280 2.2613
7.4749 -1.8300 -1.2304
0.1744 4.4799 6.8274


Question: Number 10 is which compound?
Answer: TiHg2AuSe


Question: Among the records above, which one has the highest uncorrected formation energy?
Answer: TiHg2AuSe


What did the twelfth record say?
! Tl4Hg2AuSe (GGA-PBE, relaxed); values from VASP
! Uncorrected formation energy, eV/atom: -0.126
&SYSTEM
  ibrav = 0, nat = 8, ntyp = 4
/
ATOMIC_SPECIES
Tl 204.38 Tl.upf
Hg 200.59 Hg.upf
Au 196.97 Au.upf
Se 78.96 Se.upf
ATOMIC_POSITIONS angstrom
Tl 1.5700 -1.1911 2.2959
Tl 5.6122 0.4130 5.5624
Tl 2.1101 3.0573 5.0706
Tl 5.5392 -0.4074 0.5264
Hg -0.1463 0.5260 4.5443
Hg 3.8246 1.3249 2.7985
Au 0.0000 0.0000 0.0000
Se 3.5039 -2.6290 0.5154
CELL_PARAMETERS angstrom
-0.4670 -3.4280 2.2613
7.4749 -1.8300 -1.2304
0.1744 4.4799 6.8274